1.
# PaCdHg6

A relaxed structure of PaCdHg6 (PBE, Alexandria).

Computed properties:
Fermi-level density of states   12.05 states/eV/f.u.
Energy of formation from the pure elements   0.29 eV per atom
Space group   R-3m, No. 166

Unit cell a=8.059 b=8.059 c=6.125 alpha=48.86 beta=48.86 gamma=60.00
Last column: magnetic moment on the atom in μB.
Fractional coordinates of all 8 atoms:
Pa (0.500, 0.500, 0.500)  1.64
Cd (0.000, 0.000, 0.000)  0.00
Hg (0.151, 0.151, 0.166)  0.01
Hg (0.151, 0.532, 0.166)  0.01
Hg (0.468, 0.849, 0.834)  0.01
Hg (0.849, 0.468, 0.834)  0.01
Hg (0.849, 0.849, 0.834)  0.01
Hg (0.532, 0.151, 0.166)  0.01



2.
# HoEr3Sb2

A relaxed structure of HoEr3Sb2 (PBE, Alexandria).

Computed properties:
Uncorrected formation energy   -0.655 eV per atom
Fermi-level density of states   5.98 states/eV/f.u.
Space group   C2/m, No. 12

Unit cell a=4.256 b=10.447 c=9.674 alpha=125.34 beta=90.00 gamma=101.75
Fractional coordinates of all 12 atoms:
Ho (0.890, 0.781, 0.894)
Ho (0.110, 0.219, 0.106)
Er (0.312, 0.624, 0.516)
Er (0.944, 0.889, 0.563)
Er (0.643, 0.287, 0.810)
Er (0.357, 0.713, 0.190)
Er (0.056, 0.111, 0.437)
Er (0.688, 0.376, 0.484)
Sb (0.491, 0.982, 0.827)
Sb (0.509, 0.018, 0.173)
Sb (0.749, 0.499, 0.220)
Sb (0.251, 0.501, 0.780)



3.
# KY4HoS8

A relaxed structure of KY4HoS8 (PBE, Alexandria).

Computed properties:
Uncorrected formation energy   -1.940 eV per atom
Fermi-level density of states   0.00 states/eV/f.u.
Space group   R3m, No. 160

Unit cell a=8.228 b=8.228 c=8.208 alpha=59.92 beta=59.92 gamma=60.00
Fractional coordinates of all 14 atoms:
K (0.376, 0.376, 0.873)
Y (0.625, 0.625, 0.126)
Y (0.005, 0.486, 0.504)
Y (0.486, 0.005, 0.504)
Y (0.005, 0.005, 0.504)
Ho (0.005, 0.005, 0.986)
S (0.232, 0.800, 0.735)
S (0.800, 0.232, 0.735)
S (0.232, 0.232, 0.735)
S (0.234, 0.234, 0.298)
S (0.758, 0.227, 0.257)
S (0.227, 0.758, 0.257)
S (0.758, 0.758, 0.257)
S (0.758, 0.758, 0.727)



4.
# Ce2PmTmSb4

A relaxed structure of Ce2PmTmSb4 (PBE, Alexandria).

Computed properties:
Uncorrected formation energy   -1.083 eV per atom
Fermi-level density of states   13.26 states/eV/f.u.
Space group   P2/m, No. 10

Unit cell a=4.458 b=7.720 c=7.723 alpha=70.52 beta=90.00 gamma=90.00
Last column: magnetic moment on the atom in μB.
Fractional coordinates of all 8 atoms:
Ce (0.000, 0.000, 0.000)  -0.77
Ce (0.500, 0.000, 0.500)  -0.70
Pm (0.500, 0.500, 0.000)  0.00
Tm (0.000, 0.500, 0.500)  0.01
Sb (0.000, 0.747, 0.746)  0.02
Sb (0.000, 0.253, 0.254)  0.02
Sb (0.500, 0.744, 0.257)  0.02
Sb (0.500, 0.256, 0.743)  0.02



5.
# Tb2Dy6Tm3Mg

A relaxed structure of Tb2Dy6Tm3Mg (PBE, Alexandria).

Computed properties:
Fermi-level density of states   16.08 states/eV/f.u.
Energy of formation from the pure elements   0.03 eV per atom
Space group   C2/m, No. 12

Unit cell a=6.081 b=6.081 c=11.604 alpha=95.04 beta=95.04 gamma=120.04
Fractional coordinates of all 12 atoms:
Tb (0.334, 0.666, 0.000)
Tb (0.666, 0.334, 0.000)
Dy (0.917, 0.584, 0.749)
Dy (0.750, 0.750, 0.252)
Dy (0.083, 0.416, 0.251)
Dy (0.584, 0.917, 0.749)
Dy (0.250, 0.250, 0.748)
Dy (0.416, 0.083, 0.251)
Tm (0.166, 0.834, 0.500)
Tm (0.834, 0.166, 0.500)
Tm (0.500, 0.500, 0.500)
Mg (0.000, 0.000, 0.000)



6.
# MgSi2Ag

A relaxed structure of MgSi2Ag (PBE, Alexandria).

Computed properties:
Uncorrected formation energy   0.222 eV per atom
Fermi-level density of states   1.47 states/eV/f.u.
Space group   I-4m2, No. 119

Unit cell a=5.084 b=5.084 c=5.084 alpha=133.41 beta=133.41 gamma=68.01
Fractional coordinates of all 4 atoms:
Ag (0.500, 0.500, 0.000)
Mg (0.750, 0.250, 0.500)
Si (0.000, 0.000, 0.000)
Si (0.250, 0.750, 0.500)



7.
# DyCuRuPb

A relaxed structure of DyCuRuPb (PBE, Alexandria).

Computed properties:
Fermi-level density of states   3.41 states/eV/f.u.
Energy of formation from the pure elements   -0.03 eV per atom
Space group   F-43m, No. 216

Unit cell a=4.771 b=4.771 c=4.771 alpha=60.00 beta=60.00 gamma=60.00
Fractional coordinates of all 4 atoms:
Pb (0.000, 0.000, 0.000)
Ru (0.250, 0.250, 0.250)
Cu (0.750, 0.750, 0.750)
Dy (0.500, 0.500, 0.500)



8.
# CuBiSbTe2

A relaxed structure of CuBiSbTe2 (PBE, Alexandria).

Computed properties:
Uncorrected formation energy   1.068 eV per atom
Fermi-level density of states   6.02 states/eV/f.u.
Space group   P4/mmm, No. 123

Unit cell a=5.965 b=5.965 c=5.809 alpha=90.00 beta=90.00 gamma=90.00
Last column: magnetic moment on the atom in μB.
Fractional coordinates of all 5 atoms:
Sb (0.000, 0.000, 0.500)  0.30
Te (0.000, 0.500, 0.000)  0.06
Te (0.500, 0.000, 0.000)  0.06
Bi (0.000, 0.000, 0.000)  -0.01
Cu (0.500, 0.500, 0.500)  0.01



9.
# In2Cu2Pd7

A relaxed structure of In2Cu2Pd7 (PBE, Alexandria).

Computed properties:
Fermi-level density of states   8.30 states/eV/f.u.
Energy of formation from the pure elements   0.06 eV per atom
Space group   Cmmm, No. 65

Unit cell a=6.013 b=5.648 c=6.013 alpha=90.00 beta=97.34 gamma=90.00
Fractional coordinates of all 11 atoms:
In (0.807, 0.500, 0.807)
In (0.193, 0.500, 0.193)
Cu (0.725, 0.000, 0.275)
Cu (0.275, 0.000, 0.725)
Pd (0.000, 0.253, 0.500)
Pd (0.500, 0.747, 0.000)
Pd (0.000, 0.747, 0.500)
Pd (0.500, 0.253, 0.000)
Pd (0.000, 0.000, 0.000)
Pd (0.500, 0.741, 0.500)
Pd (0.500, 0.259, 0.500)



10.
# LaAl3Te

A relaxed structure of LaAl3Te (PBE, Alexandria).

Computed properties:
Uncorrected formation energy   1.116 eV per atom
Fermi-level density of states   4.57 states/eV/f.u.
Space group   Pm-3m, No. 221

Unit cell a=5.808 b=5.808 c=5.808 alpha=90.00 beta=90.00 gamma=90.00
Fractional coordinates of all 5 atoms:
Te (0.500, 0.500, 0.500)
Al (0.000, 0.500, 0.000)
Al (0.000, 0.000, 0.500)
Al (0.500, 0.000, 0.000)
La (0.000, 0.000, 0.000)



11.
# NaAcNdGd

A relaxed structure of NaAcNdGd (PBE, Alexandria).

Computed properties:
Fermi-level density of states   6.99 states/eV/f.u.
Energy of formation from the pure elements   0.24 eV per atom
Space group   F-43m, No. 216

Unit cell a=5.916 b=5.916 c=5.916 alpha=60.00 beta=60.00 gamma=60.00
Last column: magnetic moment on the atom in μB.
Fractional coordinates of all 4 atoms:
Na (0.750, 0.750, 0.750)  0.00
Ac (0.500, 0.500, 0.500)  0.02
Gd (0.250, 0.250, 0.250)  7.22
Nd (0.000, 0.000, 0.000)  0.02



12.
# LiNbReNi2

A relaxed structure of LiNbReNi2 (PBE, Alexandria).

Computed properties:
Fermi-level density of states   3.93 states/eV/f.u.
Energy of formation from the pure elements   1.07 eV per atom
Space group   P4/mmm, No. 123

Unit cell a=4.636 b=4.701 c=4.636 alpha=90.00 beta=90.00 gamma=90.00
Fractional coordinates of all 5 atoms:
Re (0.000, 0.000, 0.000)
Nb (0.000, 0.500, 0.000)
Li (0.500, 0.500, 0.500)
Ni (0.000, 0.000, 0.500)
Ni (0.500, 0.000, 0.000)



13.
# FeGeBr

A relaxed structure of FeGeBr (PBE, Alexandria).

Computed properties:
Uncorrected formation energy   -0.057 eV per atom
Fermi-level density of states   1.97 states/eV/f.u.
Space group   P2_1/m, No. 11

Unit cell a=4.734 b=3.471 c=8.726 alpha=90.00 beta=97.36 gamma=90.00
Last column: magnetic moment on the atom in μB.
Fractional coordinates of all 6 atoms:
Ge (0.816, 0.250, 0.436)  -0.11
Ge (0.184, 0.750, 0.564)  -0.11
Fe (0.312, 0.250, 0.371)  2.35
Fe (0.688, 0.750, 0.629)  2.35
Br (0.703, 0.250, 0.830)  0.10
Br (0.297, 0.750, 0.170)  0.10



14.
# TbTcN2

A relaxed structure of TbTcN2 (PBE, Alexandria).

Computed properties:
Uncorrected formation energy   -0.566 eV per atom
Fermi-level density of states   2.84 states/eV/f.u.
Space group   P2/m, No. 10

Unit cell a=3.355 b=5.624 c=5.900 alpha=86.02 beta=90.00 gamma=90.00
Fractional coordinates of all 8 atoms:
Tb (0.000, 0.000, 0.000)
Tb (0.500, 0.000, 0.500)
Tc (0.500, 0.588, 0.206)
Tc (0.500, 0.412, 0.794)
N (0.000, 0.264, 0.668)
N (0.500, 0.252, 0.131)
N (0.500, 0.748, 0.869)
N (0.000, 0.736, 0.332)



15.
# VGaCu2

A relaxed structure of VGaCu2 (PBE, Alexandria).

Computed properties:
Fermi-level density of states   2.47 states/eV/f.u.
Energy of formation from the pure elements   0.04 eV per atom
Space group   P4/mmm, No. 123

Unit cell a=2.719 b=2.719 c=7.114 alpha=90.00 beta=90.00 gamma=90.00
Fractional coordinates of all 4 atoms:
Cu (0.000, 0.000, 0.746)
Cu (0.000, 0.000, 0.254)
Ga (0.500, 0.500, 0.500)
V (0.500, 0.500, 0.000)



16.
# NpSe2Br2Cl2

A relaxed structure of NpSe2Br2Cl2 (PBE, Alexandria).

Computed properties:
Uncorrected formation energy   -0.852 eV per atom
Fermi-level density of states   6.72 states/eV/f.u.
Space group   C2/m, No. 12

Unit cell a=4.252 b=9.443 c=7.697 alpha=79.80 beta=73.97 gamma=76.99
Last column: magnetic moment on the atom in μB.
Fractional coordinates of all 7 atoms:
Np (0.000, 0.000, 0.000)  3.40
Se (0.089, 0.438, 0.384)  0.52
Se (0.911, 0.562, 0.616)  0.52
Br (0.594, 0.071, 0.742)  -0.04
Br (0.406, 0.929, 0.258)  -0.04
Cl (0.167, 0.739, 0.926)  -0.05
Cl (0.833, 0.261, 0.074)  -0.05



17.
# Ca3Cu2GeAu9

A relaxed structure of Ca3Cu2GeAu9 (PBE, Alexandria).

Computed properties:
Fermi-level density of states   4.83 states/eV/f.u.
Energy of formation from the pure elements   -0.26 eV per atom
Space group   P-3m1, No. 164

Unit cell a=7.909 b=7.909 c=6.380 alpha=90.00 beta=90.00 gamma=120.00
Fractional coordinates of all 15 atoms:
Ca (0.333, 0.667, 0.663)
Ca (0.000, 0.000, 0.000)
Ca (0.667, 0.333, 0.337)
Cu (0.333, 0.667, 0.168)
Cu (0.667, 0.333, 0.832)
Ge (0.000, 0.000, 0.500)
Au (0.834, 0.166, 0.681)
Au (0.834, 0.669, 0.681)
Au (0.331, 0.166, 0.681)
Au (0.669, 0.834, 0.319)
Au (0.166, 0.331, 0.319)
Au (0.166, 0.834, 0.319)
Au (0.500, 0.000, 0.000)
Au (0.000, 0.500, 0.000)
Au (0.500, 0.500, 0.000)



18.
# TbTaTiO6

A relaxed structure of TbTaTiO6 (PBE, Alexandria).

Computed properties:
Uncorrected formation energy   -3.194 eV per atom
Fermi-level density of states   0.00 states/eV/f.u.
Space group   Pna2_1, No. 33

Unit cell a=5.249 b=7.448 c=11.099 alpha=90.00 beta=90.00 gamma=90.00
Fractional coordinates of all 36 atoms:
Tb (0.456, 0.749, 0.955)
Tb (0.044, 0.749, 0.455)
Tb (0.544, 0.249, 0.045)
Tb (0.956, 0.249, 0.545)
Ta (0.462, 0.507, 0.644)
Ta (0.538, 0.007, 0.356)
Ta (0.962, 0.007, 0.856)
Ta (0.038, 0.507, 0.144)
Ti (0.036, 0.991, 0.141)
Ti (0.964, 0.491, 0.859)
Ti (0.536, 0.491, 0.359)
Ti (0.464, 0.991, 0.641)
O (0.243, 0.042, 0.971)
O (0.264, 0.458, 0.475)
O (0.757, 0.542, 0.029)
O (0.736, 0.958, 0.525)
O (0.764, 0.958, 0.025)
O (0.743, 0.542, 0.529)
O (0.236, 0.458, 0.975)
O (0.257, 0.042, 0.471)
O (0.175, 0.752, 0.117)
O (0.325, 0.752, 0.617)
O (0.825, 0.252, 0.883)
O (0.675, 0.252, 0.383)
O (0.621, 0.566, 0.793)
O (0.882, 0.934, 0.288)
O (0.379, 0.066, 0.207)
O (0.118, 0.434, 0.712)
O (0.382, 0.434, 0.212)
O (0.121, 0.066, 0.707)
O (0.618, 0.934, 0.788)
O (0.879, 0.566, 0.293)
O (0.060, 0.749, 0.857)
O (0.440, 0.749, 0.357)
O (0.940, 0.249, 0.143)
O (0.560, 0.249, 0.643)



19.
# Pm12MgRh7

A relaxed structure of Pm12MgRh7 (PBE, Alexandria).

Computed properties:
Fermi-level density of states   13.15 states/eV/f.u.
Energy of formation from the pure elements   -0.51 eV per atom
Space group   R-3, No. 148

Unit cell a=9.071 b=9.071 c=9.071 alpha=110.33 beta=110.33 gamma=110.33
Fractional coordinates of all 20 atoms:
Pm (0.884, 0.339, 0.738)
Pm (0.661, 0.262, 0.116)
Pm (0.402, 0.115, 0.320)
Pm (0.885, 0.680, 0.598)
Pm (0.262, 0.116, 0.661)
Pm (0.680, 0.598, 0.885)
Pm (0.320, 0.402, 0.115)
Pm (0.738, 0.884, 0.339)
Pm (0.115, 0.320, 0.402)
Pm (0.598, 0.885, 0.680)
Pm (0.339, 0.738, 0.884)
Pm (0.116, 0.661, 0.262)
Mg (0.000, 0.000, 0.000)
Rh (0.062, 0.724, 0.964)
Rh (0.276, 0.036, 0.938)
Rh (0.036, 0.938, 0.276)
Rh (0.500, 0.500, 0.500)
Rh (0.964, 0.062, 0.724)
Rh (0.724, 0.964, 0.062)
Rh (0.938, 0.276, 0.036)



20.
# Ba2PmAlSe5

A relaxed structure of Ba2PmAlSe5 (PBE, Alexandria).

Computed properties:
Uncorrected formation energy   -1.720 eV per atom
Fermi-level density of states   0.00 states/eV/f.u.
Space group   Cmc2_1, No. 36

Unit cell a=4.270 b=9.797 c=13.642 alpha=90.00 beta=90.00 gamma=102.59
Fractional coordinates of all 18 atoms:
Ba (0.875, 0.750, 0.832)
Ba (0.120, 0.240, 0.687)
Ba (0.125, 0.250, 0.332)
Ba (0.880, 0.760, 0.187)
Pm (0.797, 0.595, 0.531)
Pm (0.203, 0.405, 0.031)
Al (0.559, 0.117, 0.923)
Al (0.441, 0.883, 0.423)
Se (0.350, 0.701, 0.011)
Se (0.682, 0.364, 0.876)
Se (0.499, 0.998, 0.772)
Se (0.298, 0.597, 0.674)
Se (0.960, 0.920, 0.519)
Se (0.650, 0.299, 0.511)
Se (0.318, 0.636, 0.376)
Se (0.501, 0.002, 0.272)
Se (0.702, 0.403, 0.174)
Se (0.040, 0.080, 0.019)